(1)
A plane-wave DFT calculation with PBE-GGA was carried out for crystalline Te2WSe at its relaxed geometry.

abc: 6.689 3.249 6.887
angles: 90.00 117.04 90.00
Atoms (fractional coordinates):
Te 0.000 0.000 0.000
Te 0.307 0.500 0.635
W 0.364 0.000 0.353
Se 0.616 0.500 0.302

As for the calculated volume: 33.33 Å³ per atom. For the uncorrected formation energy, the calculation gives 8 meV per atom.

---

(2)
A plane-wave DFT calculation with PBE-GGA was carried out for crystalline TeW2Se at its relaxed geometry.

abc: 3.168 3.168 8.687
angles: 90.00 90.00 120.37
Atoms (fractional coordinates):
Te 0.000 0.000 0.000
W 0.500 0.500 0.266
W 0.500 0.500 0.734
Se 0.000 0.000 0.500

The density of states at the Fermi level is 3.94 states/eV/f.u. As for the calculated volume: 18.81 Å³ per atom. For the polymorph energy (0 for the lowest one), the calculation gives 989 meV/atom. For the uncorrected formation energy, the calculation gives 1088 meV per atom.

---

(3)
A plane-wave DFT calculation with PBE-GGA was carried out for crystalline TeW2Se at its relaxed geometry.

abc: 3.003 3.003 10.130
angles: 90.00 90.00 112.02
Atoms (fractional coordinates):
Te 0.000 0.000 0.000
W 0.000 0.000 0.565
W 0.500 0.500 0.758
Se 0.500 0.500 0.360

The density of states at the Fermi level is 3.49 states/eV/f.u. As for the calculated volume: 21.17 Å³ per atom. For the polymorph energy (0 for the lowest one), the calculation gives 403 meV/atom. For the uncorrected formation energy, the calculation gives 502 meV per atom.

---

no.,M_tot (μB/atom)
1,0.000
2,0.000
3,0.000